Compound: MnIrOs2Br
Source: Alexandria
Functional: PBE-GGA
Structure: relaxed

Cell lengths 4.7263, 4.7263, 4.9657 Å; angles 90.00, 90.00, 90.00 degrees
Space group P4/mmm (No. 123)
Asymmetric unit:
Mn (0.0000, 0.0000, 0.0000) [1 per cell]
Ir (0.5000, 0.5000, 0.5000) [1 per cell]
Os (0.0000, 0.5000, 0.5000) [2 per cell]
Br (0.5000, 0.5000, 0.0000) [1 per cell]

## Properties
The calculation puts the volume at 111 Å³/cell. The magnetic moment is 0.29 μB per formula unit. The formation energy (no corrections) is 2.586 eV/atom. The value obtained for the density of states at the Fermi level is 8.480 states/eV/f.u.